Entry 1:
PBE SbOs3, optimized geometry; raw total energy = -34.2 eV/cell; total moment = 1.1 Bohr magnetons per cell; ΔE_f (raw) = 3.6 eV/f.u.
1.0
-3.430 2.679 1.143
-4.208 -1.124 -1.133
-2.912 -1.303 3.173
Os Sb
3 1
Cartesian
0.000 0.000 0.000 Os
-7.912 0.189 2.388 Os
-5.275 0.126 1.592 Os
-2.637 0.063 0.796 Sb

Entry 2:
PBE Cs2TlPt2, optimized geometry; raw total energy = -31.9 eV/cell; total moment = 0.0 Bohr magnetons per cell
1.0
-2.290 -2.223 6.607
4.973 -5.394 -0.091
3.875 3.530 2.531
Pt Tl Cs
4 2 4
Cartesian
1.577 -2.300 0.793 Pt
-0.809 -2.065 4.119 Pt
3.492 -5.552 2.397 Pt
1.105 -5.317 5.723 Pt
1.341 -3.808 3.258 Tl
0.000 0.000 0.000 Tl
2.084 0.089 3.377 Cs
1.656 -1.800 6.667 Cs
4.901 -2.287 2.379 Cs
4.473 -4.176 5.669 Cs

Entry 3:
PBE GeSb2BrN, optimized geometry; raw total energy = -19.2 eV/cell; total moment = 0.0 Bohr magnetons per cell; ΔE_f (raw) = 3.7 eV/f.u.
1.0
-1.319 4.010 -2.178
-3.025 -2.648 -3.044
-3.564 0.511 3.098
Br Ge Sb N
1 1 2 1
Cartesian
-3.954 0.936 -1.062 Br
-1.513 -1.324 -1.522 Ge
-0.659 2.005 -1.089 Sb
-1.782 0.255 1.549 Sb
0.000 0.000 0.000 N

Entry 4:
PBE ScBe2Au, optimized geometry; raw total energy = -18.2 eV/cell; total moment = 0.0 Bohr magnetons per cell
1.0
-2.712 0.490 -2.837
-0.645 -2.873 -2.640
-4.170 -2.517 0.795
Be Au Sc
2 1 1
Cartesian
-3.776 -2.620 -5.118 Be
-3.344 -2.213 -2.700 Be
-1.882 -1.225 -1.171 Au
-5.645 -3.675 -3.512 Sc

Entry 5:
PBE BeNbPd, optimized geometry; raw total energy = -20.0 eV/cell; total moment = 0.0 Bohr magnetons per cell
1.0
-2.471 -1.244 -0.467
1.011 -1.120 -2.366
2.341 -3.025 4.096
Pd Be Nb
1 1 1
Cartesian
0.986 -2.576 1.640 Pd
-0.145 -2.710 -0.444 Be
0.040 -0.104 0.066 Nb

Entry 6:
PBE K2TeAs, optimized geometry; raw total energy = -11.9 eV/cell; total moment = 0.0 Bohr magnetons per cell; ΔE_f (raw) = -1.9 eV/f.u.
1.0
6.757 -0.009 -0.014
2.890 6.107 0.014
-4.620 -3.370 3.598
Te As K
1 1 2
Cartesian
4.238 2.679 0.000 Te
2.218 3.318 1.806 As
3.379 -0.229 1.792 K
0.014 0.009 0.000 K

Entry 7:
PBE MnFe3Pb, optimized geometry; raw total energy = -26.9 eV/cell; total moment = 7.9 Bohr magnetons per cell
1.0
4.812 0.000 0.000
0.000 4.812 0.000
0.000 0.000 4.812
Fe Pb Mn
3 1 1
Cartesian
0.000 2.406 0.000 Fe
0.000 0.000 2.406 Fe
2.406 0.000 0.000 Fe
0.000 0.000 0.000 Pb
2.406 2.406 2.406 Mn

Entry 8:
PBE Ta3Ir2Rh2, optimized geometry; raw total energy = -71.1 eV/cell; total moment = 0.0 Bohr magnetons per cell
1.0
3.790 0.000 0.503
0.000 2.885 0.000
0.547 0.000 10.409
Rh Ta Ir
2 3 2
Cartesian
2.997 1.443 6.481 Rh
1.340 1.443 4.431 Rh
3.389 0.000 3.525 Ta
0.000 0.000 0.000 Ta
0.948 0.000 7.388 Ta
1.705 1.443 1.682 Ir
2.632 1.443 9.230 Ir

Entry 9:
PBE Si3Bi2O9, optimized geometry; raw total energy = -200.7 eV/cell; total moment = 0.0 Bohr magnetons per cell; ΔE_f (raw) = -31.7 eV/f.u.
1.0
-2.447 -5.248 -3.725
-1.635 0.548 6.666
-7.863 5.347 -2.368
Si O Bi
6 18 4
Cartesian
-6.886 3.014 -0.742 Si
-5.059 -2.367 1.315 Si
-4.628 -3.484 -2.640 Si
-7.317 4.132 3.213 Si
-2.740 -0.087 -1.235 Si
-9.205 0.734 1.808 Si
-6.581 2.750 -2.351 O
-5.899 -2.618 -2.097 O
-8.231 4.751 2.012 O
-3.714 -4.104 -1.439 O
-9.102 0.197 0.254 O
-8.506 3.175 -0.634 O
-5.624 -1.042 0.549 O
-3.439 -2.528 1.207 O
-6.047 3.265 2.670 O
-7.764 0.696 2.572 O
-1.997 -1.535 -1.341 O
-9.949 2.182 1.914 O
-3.407 1.511 4.587 O
-2.843 0.450 0.319 O
-5.364 -2.103 2.924 O
-8.538 -0.864 -4.014 O
-6.321 1.689 0.024 O
-4.181 -0.049 -1.999 O
-2.056 -1.282 3.157 Bi
-5.687 1.187 2.064 Bi
-9.889 1.929 -2.584 Bi
-6.259 -0.540 -1.491 Bi

Entry 10:
PBE AlZn2Tc, optimized geometry; raw total energy = -16.6 eV/cell; total moment = 0.0 Bohr magnetons per cell
1.0
4.846 -0.013 0.000
-1.986 4.421 0.000
0.000 0.000 2.730
Zn Al Tc
2 1 1
Cartesian
1.430 2.204 0.000 Zn
0.000 0.000 0.000 Zn
2.423 -0.006 1.365 Al
-0.993 2.210 1.365 Tc

Entry 11:
PBE CaMg2NbW, optimized geometry; raw total energy = -23.5 eV/cell; total moment = 0.0 Bohr magnetons per cell
1.0
-3.360 -4.078 0.946
1.062 -1.852 -4.211
4.009 -2.784 2.235
Mg Ca W Nb
2 1 1 1
Cartesian
2.004 -1.392 1.118 Mg
-1.680 -2.039 0.473 Mg
0.855 -4.357 -0.515 Ca
0.531 -0.926 -2.105 W
0.000 0.000 0.000 Nb

Entry 12:
PBE BaSrC2, optimized geometry; raw total energy = -32.2 eV/cell; total moment = 8.0 Bohr magnetons per cell
1.0
-1.242 -5.896 -3.802
1.428 -3.993 5.726
-4.127 -4.800 2.115
C Sr Ba
4 2 2
Cartesian
-3.000 -7.377 2.406 C
-0.315 -4.533 3.567 C
-1.608 -5.284 -1.067 C
-2.956 -12.185 3.172 C
0.093 -4.945 0.962 Sr
-1.302 -6.869 4.401 Sr
-2.637 -7.820 -0.362 Ba
0.000 0.000 0.000 Ba

Repeat the tenth record exactly.
PBE AlZn2Tc, optimized geometry; raw total energy = -16.6 eV/cell; total moment = 0.0 Bohr magnetons per cell
1.0
4.846 -0.013 0.000
-1.986 4.421 0.000
0.000 0.000 2.730
Zn Al Tc
2 1 1
Cartesian
1.430 2.204 0.000 Zn
0.000 0.000 0.000 Zn
2.423 -0.006 1.365 Al
-0.993 2.210 1.365 Tc